DFT (PBE-GGA) results for crystalline LiSmCo at its relaxed geometry.

Unit cell a=3.892 b=3.894 c=11.515 alpha=89.99 beta=80.30 gamma=59.99
Site moments in Bohr magnetons follow the coordinates.
Element x y z (fractional)
Sm  0.056  0.243  0.456  -0.06
Co  0.832  0.855  0.291  0.38
Li  0.772  0.385  0.880  0.00
Li  0.559  0.991  0.702  0.00
Sm  0.275  0.134  0.126  -0.06
Co  0.499  0.521  0.291  0.38

* energy relative to the lowest polymorph listed for this composition: 0 meV/atom
* ΔH_f (0 K): -0.03 eV/atom
* magnetic moment: 0.5 μB per cell

---

DFT (PBE-GGA) results for crystalline LiSm3Co at its relaxed geometry.

Unit cell a=5.340 b=5.340 c=5.340 alpha=90.00 beta=90.00 gamma=90.00
Element x y z (fractional)
Li  0.500  0.500  0.500
Sm  0.500  0.000  0.000
Co  0.000  0.000  0.000
Sm  0.000  0.000  0.500
Sm  0.000  0.500  0.000

* energy relative to the lowest polymorph listed for this composition: 41 meV/atom
* ΔH_f (0 K): 0.06 eV/atom
* magnetic moment: 0.0 μB per cell

---

DFT (PBE-GGA) results for crystalline LiSm4Co at its relaxed geometry.

Unit cell a=9.717 b=9.717 c=9.717 alpha=60.00 beta=60.00 gamma=60.00
Element x y z (fractional)
Co  0.609  0.609  0.609
Sm  0.564  0.564  0.936
Li  0.173  0.482  0.173
Sm  0.406  0.783  0.406
Co  0.609  0.174  0.609
Li  0.482  0.173  0.173
Sm  0.783  0.406  0.406
Sm  0.811  0.189  0.811
Sm  0.189  0.811  0.811
Li  0.173  0.173  0.482
Sm  0.406  0.406  0.406
Sm  0.189  0.811  0.189
Co  0.174  0.609  0.609
Sm  0.189  0.189  0.811
Sm  0.936  0.564  0.936
Sm  0.564  0.936  0.936
Sm  0.406  0.406  0.783
Co  0.609  0.609  0.174
Sm  0.811  0.811  0.189
Sm  0.811  0.189  0.189
Sm  0.936  0.936  0.564
Sm  0.936  0.564  0.564
Li  0.173  0.173  0.173
Sm  0.564  0.936  0.564

* energy relative to the lowest polymorph listed for this composition: 0 meV/atom
* ΔH_f (0 K): -0.06 eV/atom
* magnetic moment: 0.0 μB per cell

---

DFT (PBE-GGA) results for crystalline LiSm8Co2 at its relaxed geometry.

Unit cell a=5.710 b=7.939 c=7.939 alpha=116.00 beta=97.05 gamma=97.05
Element x y z (fractional)
Sm  0.429  0.664  0.924
Sm  0.797  0.605  0.605
Sm  0.000  0.252  0.754
Sm  0.000  0.754  0.252
Co  0.500  0.710  0.296
Li  0.999  0.003  0.003
Co  0.500  0.296  0.710
Sm  0.429  0.924  0.664
Sm  0.203  0.401  0.401
Sm  0.571  0.342  0.082
Sm  0.571  0.082  0.342

* ΔH_f (0 K): 0.05 eV/atom
* magnetic moment: 0.0 μB per cell

---

DFT (PBE-GGA) results for crystalline LiSmCoSn at its relaxed geometry.

Unit cell a=4.698 b=4.698 c=4.698 alpha=60.00 beta=60.00 gamma=60.00
Site moments in Bohr magnetons follow the coordinates.
Element x y z (fractional)
Sm  0.750  0.750  0.750  0.01
Li  0.500  0.500  0.500  -0.01
Sn  0.250  0.250  0.250  0.04
Co  0.000  0.000  0.000  0.86

* ΔH_f (0 K): -0.35 eV/atom
* magnetic moment: 1.0 μB per cell

---

DFT (PBE-GGA) results for crystalline LiSmTmCo at its relaxed geometry.

Unit cell a=4.879 b=4.879 c=4.879 alpha=60.00 beta=60.00 gamma=60.00
Element x y z (fractional)
Li  0.500  0.500  0.500
Sm  0.250  0.250  0.250
Co  0.000  0.000  0.000
Tm  0.750  0.750  0.750

* ΔH_f (0 K): -0.06 eV/atom
* magnetic moment: 0.0 μB per cell

---

DFT (PBE-GGA) results for crystalline LiSmZrCo at its relaxed geometry.

Unit cell a=4.763 b=4.763 c=4.763 alpha=60.00 beta=60.00 gamma=60.00
Element x y z (fractional)
Zr  0.750  0.750  0.750
Sm  0.250  0.250  0.250
Co  0.500  0.500  0.500
Li  0.000  0.000  0.000

* ΔH_f (0 K): 0.07 eV/atom
* magnetic moment: 0.0 μB per cell

---

DFT (PBE-GGA) results for crystalline LiCoSn at its relaxed geometry.

Unit cell a=2.886 b=4.201 c=4.201 alpha=120.00 beta=90.00 gamma=90.00
Element x y z (fractional)
Li  0.045  0.000  0.000
Co  0.292  0.333  0.667
Sn  0.663  0.667  0.333

* ΔH_f (0 K): 0.01 eV/atom
* magnetic moment: 0.0 μB per cell

---

DFT (PBE-GGA) results for crystalline LiCoSn3 at its relaxed geometry.

Unit cell a=4.041 b=5.853 c=9.444 alpha=100.25 beta=90.00 gamma=90.00
Element x y z (fractional)
Sn  0.250  0.700  0.049
Li  0.250  0.200  0.177
Li  0.750  0.800  0.823
Sn  0.250  0.895  0.600
Co  0.250  0.823  0.321
Co  0.750  0.177  0.679
Sn  0.750  0.564  0.302
Sn  0.750  0.105  0.400
Sn  0.750  0.300  0.951
Sn  0.250  0.436  0.698

* energy relative to the lowest polymorph listed for this composition: 0 meV/atom
* ΔH_f (0 K): -0.09 eV/atom
* magnetic moment: 0.0 μB per cell

---

DFT (PBE-GGA) results for crystalline LiCoSn6 at its relaxed geometry.

Unit cell a=7.006 b=7.171 c=6.194 alpha=54.63 beta=68.40 gamma=50.50
Element x y z (fractional)
Li  0.000  0.000  0.000
Co  0.500  0.500  0.000
Sn  0.229  0.501  0.432
Sn  0.316  0.288  0.000
Sn  0.771  0.499  0.568
Sn  0.684  0.712  0.000
Sn  0.771  0.066  0.432
Sn  0.229  0.934  0.568

* ΔH_f (0 K): 0.03 eV/atom
* magnetic moment: 0.0 μB per cell

---

DFT (PBE-GGA) results for crystalline LiCoSn at its relaxed geometry.

Unit cell a=4.051 b=4.049 c=6.363 alpha=90.00 beta=91.14 gamma=90.00
Element x y z (fractional)
Li  0.760  0.250  0.799
Sn  0.258  0.750  0.738
Co  0.750  0.750  0.500
Sn  0.742  0.250  0.262
Li  0.240  0.750  0.201
Co  0.250  0.250  0.500

* ΔH_f (0 K): -0.12 eV/atom
* magnetic moment: 0.0 μB per cell

---

DFT (PBE-GGA) results for crystalline LiCoSn3 at its relaxed geometry.

Unit cell a=4.956 b=4.956 c=4.956 alpha=90.00 beta=90.00 gamma=90.00
Element x y z (fractional)
Sn  0.500  0.000  0.000
Sn  0.000  0.500  0.000
Sn  0.000  0.000  0.500
Co  0.000  0.000  0.000
Li  0.500  0.500  0.500

* energy relative to the lowest polymorph listed for this composition: 164 meV/atom
* ΔH_f (0 K): 0.08 eV/atom
* magnetic moment: 0.0 μB per cell

---

DFT (PBE-GGA) results for crystalline Li2CoSn8 at its relaxed geometry.

Unit cell a=4.275 b=6.104 c=10.778 alpha=107.98 beta=101.44 gamma=90.00
Element x y z (fractional)
Sn  0.606  0.395  0.211
Sn  0.791  0.680  0.583
Co  0.500  0.000  0.000
Sn  0.394  0.605  0.789
Sn  0.987  0.242  0.974
Sn  0.013  0.758  0.026
Sn  0.209  0.320  0.417
Li  0.208  0.817  0.416
Sn  0.378  0.081  0.755
Sn  0.622  0.919  0.245
Li  0.792  0.183  0.584

* ΔH_f (0 K): -0.09 eV/atom
* magnetic moment: 0.0 μB per cell